Material: HfAgSe2Br
Method: DFT, PBE
State: relaxed

Lattice parameters (Å, degrees): 5.076 5.076 4.964 90.00 90.00 90.00
Fractional positions:
Se  0.000  0.500  0.000
Se  0.500  0.000  0.000
Ag  0.000  0.000  0.000
Br  0.000  0.000  0.500
Hf  0.500  0.500  0.500

## Properties
- V: 127.9 Å³ per cell
- ΔE_f (raw): 512.3 meV/atom
- Distance to the lowest polymorph of the same formula: 22.549 kcal/mol of atoms
- Space-group type: No. 123
- Crystal system: tetragonal
- Raw total energy: -18.89 eV/cell



Material: HfAgSeBr2
Method: DFT, PBE
State: relaxed

Lattice parameters (Å, degrees): 5.281 5.281 5.162 90.00 90.00 90.00
Fractional positions:
Br  0.500  0.000  0.000
Br  0.000  0.500  0.000
Ag  0.500  0.500  0.500
Hf  0.000  0.000  0.000
Se  0.000  0.000  0.500

## Properties
- V: 143.9 Å³ per cell
- ΔE_f (raw): -464.8 meV/atom
- Distance to the lowest polymorph of the same formula: 0.000 kcal/mol of atoms
- Space-group type: No. 123
- Crystal system: tetragonal
- Raw total energy: -21.96 eV/cell



Material: HfTlAgBr6
Method: DFT, PBE
State: relaxed

Lattice parameters (Å, degrees): 7.293 7.293 14.073 90.00 90.00 120.00
Fractional positions:
Br  0.642  0.614  0.141
Br  0.386  0.029  0.141
Br  0.029  0.386  0.641
Br  0.971  0.358  0.141
Br  0.386  0.358  0.359
Br  0.614  0.971  0.859
Br  0.358  0.971  0.641
Br  0.029  0.642  0.859
Br  0.614  0.642  0.641
Br  0.642  0.029  0.359
Br  0.971  0.614  0.359
Br  0.358  0.386  0.859
Ag  0.667  0.333  0.750
Ag  0.333  0.667  0.250
Hf  0.667  0.333  0.250
Hf  0.333  0.667  0.750
Tl  0.000  0.000  0.000
Tl  0.000  0.000  0.500

## Properties
- V: 648.3 Å³ per cell
- ΔE_f (raw): -1046.4 meV/atom
- Space-group type: No. 163
- Crystal system: trigonal
- Raw total energy: -69.25 eV/cell



- The highest ΔE_f (raw) belongs to which entry?
  HfAgSe2Br



- What is the raw total energy in the first record?
  -18.89 eV/cell



What did the third record say?
Material: HfTlAgBr6
Method: DFT, PBE
State: relaxed

Lattice parameters (Å, degrees): 7.293 7.293 14.073 90.00 90.00 120.00
Fractional positions:
Br  0.642  0.614  0.141
Br  0.386  0.029  0.141
Br  0.029  0.386  0.641
Br  0.971  0.358  0.141
Br  0.386  0.358  0.359
Br  0.614  0.971  0.859
Br  0.358  0.971  0.641
Br  0.029  0.642  0.859
Br  0.614  0.642  0.641
Br  0.642  0.029  0.359
Br  0.971  0.614  0.359
Br  0.358  0.386  0.859
Ag  0.667  0.333  0.750
Ag  0.333  0.667  0.250
Hf  0.667  0.333  0.250
Hf  0.333  0.667  0.750
Tl  0.000  0.000  0.000
Tl  0.000  0.000  0.500

## Properties
- V: 648.3 Å³ per cell
- ΔE_f (raw): -1046.4 meV/atom
- Space-group type: No. 163
- Crystal system: trigonal
- Raw total energy: -69.25 eV/cell